1.
# Pr2CoNi3 | Alexandria via LeMat-Bulk | PBE | optimized geometry
# Formation energy in eV per atom: 0.086
data_Pr2CoNi3
_space_group_name_H-M_alt 'I m m m'
_space_group_IT_number 71
_space_group_name_Hall '-I 2 2'
_cell_length_a 4.209
_cell_length_b 5.220
_cell_length_c 10.404
_cell_angle_alpha 90.00
_cell_angle_beta 90.00
_cell_angle_gamma 90.00
loop_
_atom_site_label
_atom_site_type_symbol
_atom_site_fract_x
_atom_site_fract_y
_atom_site_fract_z
Pr1 Pr 0.000 0.000 0.184
Co1 Co 0.000 0.000 0.500
Ni1 Ni 0.000 0.500 0.111
Ni2 Ni 0.000 0.500 0.500

2.
# ScTcSb | Alexandria via LeMat-Bulk | PBE | optimized geometry
# Polymorph energy (0 for the lowest one) in eV/atom: 0.030
data_ScTcSb
_space_group_name_H-M_alt 'P -6 m 2'
_space_group_IT_number 187
_space_group_name_Hall 'P -6 2'
_cell_length_a 4.5440
_cell_length_b 4.5440
_cell_length_c 3.3057
_cell_angle_alpha 90.00
_cell_angle_beta 90.00
_cell_angle_gamma 120.00
loop_
_atom_site_label
_atom_site_type_symbol
_atom_site_fract_x
_atom_site_fract_y
_atom_site_fract_z
Sc1 Sc 0.0000 0.0000 0.0000
Tc1 Tc 0.6667 0.3333 0.5000
Sb1 Sb 0.3333 0.6667 0.5000

3.
# NaBe3Pd | Alexandria via LeMat-Bulk | PBE | optimized geometry
# Formation energy in eV per atom: 0.271
# Polymorph energy (0 for the lowest one) in eV/atom: 0.000
data_NaBe3Pd
_space_group_name_H-M_alt 'P m -3 m'
_space_group_IT_number 221
_space_group_name_Hall '-P 4 2 3'
_cell_length_a 4.336
_cell_length_b 4.336
_cell_length_c 4.336
_cell_angle_alpha 90.00
_cell_angle_beta 90.00
_cell_angle_gamma 90.00
loop_
_atom_site_label
_atom_site_type_symbol
_atom_site_fract_x
_atom_site_fract_y
_atom_site_fract_z
Na1 Na 0.000 0.000 0.000
Be1 Be 0.000 0.500 0.500
Pd1 Pd 0.500 0.500 0.500

4.
# EuPuBi2 | Alexandria via LeMat-Bulk | PBE | optimized geometry
# Formation energy in eV per atom: -0.476
# Polymorph energy (0 for the lowest one) in eV/atom: 0.055
data_EuPuBi2
_space_group_name_H-M_alt 'F m -3 m'
_space_group_IT_number 225
_space_group_name_Hall '-F 4 2 3'
_cell_length_a 7.935
_cell_length_b 7.935
_cell_length_c 7.935
_cell_angle_alpha 90.00
_cell_angle_beta 90.00
_cell_angle_gamma 90.00
loop_
_atom_site_label
_atom_site_type_symbol
_atom_site_fract_x
_atom_site_fract_y
_atom_site_fract_z
Eu1 Eu 0.000 0.000 0.000
Pu1 Pu 0.000 0.000 0.500
Bi1 Bi 0.250 0.250 0.250

5.
# Rb2AsS4 | Alexandria via LeMat-Bulk | PBE | optimized geometry
# Polymorph energy (0 for the lowest one) in eV/atom: 0.000
data_Rb2AsS4
_space_group_name_H-M_alt 'F m m 2'
_space_group_IT_number 42
_space_group_name_Hall 'F 2 -2'
_cell_length_a 9.912
_cell_length_b 12.321
_cell_length_c 8.732
_cell_angle_alpha 90.00
_cell_angle_beta 90.00
_cell_angle_gamma 90.00
loop_
_atom_site_label
_atom_site_type_symbol
_atom_site_fract_x
_atom_site_fract_y
_atom_site_fract_z
Rb1 Rb 0.250 0.250 0.000
As1 As 0.000 0.000 0.110
S1 S 0.000 0.150 0.238
S2 S 0.146 0.000 0.918

6.
# Ta2AuCl | Alexandria via LeMat-Bulk | PBE | optimized geometry
# Polymorph energy (0 for the lowest one) in eV/atom: 0.279
data_Ta2AuCl
_space_group_name_H-M_alt 'P 1 2/m 1'
_space_group_IT_number 10
_cell_length_a 2.955
_cell_length_b 4.105
_cell_length_c 5.877
_cell_angle_alpha 90.00
_cell_angle_beta 93.63
_cell_angle_gamma 90.00
loop_
_space_group_symop_operation_xyz
'x,y,z'
'-x,-y,-z'
'-x,y,-z'
'x,-y,z'
loop_
_atom_site_label
_atom_site_type_symbol
_atom_site_fract_x
_atom_site_fract_y
_atom_site_fract_z
Ta1 Ta 0.028 0.000 0.247
Au1 Au 0.500 0.500 0.000
Cl1 Cl 0.000 0.500 0.500

7.
# Li3Ag4Pb2 | Alexandria via LeMat-Bulk | PBE | optimized geometry
# Formation energy in eV per atom: -0.139
# Polymorph energy (0 for the lowest one) in eV/atom: 0.024
data_Li3Ag4Pb2
_space_group_name_H-M_alt 'C 1 2/m 1'
_space_group_IT_number 12
_cell_length_a 9.361
_cell_length_b 4.928
_cell_length_c 8.756
_cell_angle_alpha 90.00
_cell_angle_beta 121.44
_cell_angle_gamma 90.00
loop_
_space_group_symop_operation_xyz
'x,y,z'
'-x,-y,-z'
'-x,y,-z'
'x,-y,z'
'x+1/2,y+1/2,z'
'-x+1/2,-y+1/2,-z'
'-x+1/2,y+1/2,-z'
'x+1/2,-y+1/2,z'
loop_
_atom_site_label
_atom_site_type_symbol
_atom_site_fract_x
_atom_site_fract_y
_atom_site_fract_z
Li1 Li 0.000 0.000 0.000
Li2 Li 0.150 0.500 0.322
Ag1 Ag 0.004 0.000 0.332
Ag2 Ag 0.161 0.500 0.010
Pb1 Pb 0.181 0.500 0.682

8.
# BaZrMnOs2 | Alexandria via LeMat-Bulk | PBE | optimized geometry
# Formation energy in eV per atom: 1.339
data_BaZrMnOs2
_space_group_name_H-M_alt 'P 4/m m m'
_space_group_IT_number 123
_space_group_name_Hall '-P 4 2'
_cell_length_a 4.595
_cell_length_b 4.595
_cell_length_c 5.001
_cell_angle_alpha 90.00
_cell_angle_beta 90.00
_cell_angle_gamma 90.00
loop_
_atom_site_label
_atom_site_type_symbol
_atom_site_fract_x
_atom_site_fract_y
_atom_site_fract_z
Ba1 Ba 0.000 0.000 0.000
Zr1 Zr 0.500 0.500 0.000
Mn1 Mn 0.000 0.000 0.500
Os1 Os 0.000 0.500 0.500

9.
# PmHo2PuN4 | Alexandria via LeMat-Bulk | PBE | optimized geometry
# Raw total energy in eV/cell: -73.703
data_PmHo2PuN4
_space_group_name_H-M_alt 'P 1 2/m 1'
_space_group_IT_number 10
_cell_length_a 6.044
_cell_length_b 3.502
_cell_length_c 6.046
_cell_angle_alpha 90.00
_cell_angle_beta 109.37
_cell_angle_gamma 90.00
loop_
_space_group_symop_operation_xyz
'x,y,z'
'-x,-y,-z'
'-x,y,-z'
'x,-y,z'
loop_
_atom_site_label
_atom_site_type_symbol
_atom_site_fract_x
_atom_site_fract_y
_atom_site_fract_z
Pm1 Pm 0.000 0.000 0.000
Ho1 Ho 0.500 0.000 0.500
Ho2 Ho 0.500 0.500 0.000
Pu1 Pu 0.000 0.500 0.500
N1 N 0.250 0.000 0.741
N2 N 0.254 0.500 0.261

10.
# CdSi2Rh | Alexandria via LeMat-Bulk | PBE | optimized geometry
# Raw total energy in eV/cell: -19.665
data_CdSi2Rh
_space_group_name_H-M_alt 'P 1 m 1'
_space_group_IT_number 6
_cell_length_a 3.933
_cell_length_b 2.879
_cell_length_c 6.659
_cell_angle_alpha 90.00
_cell_angle_beta 107.20
_cell_angle_gamma 90.00
loop_
_space_group_symop_operation_xyz
'x,y,z'
'x,-y,z'
loop_
_atom_site_label
_atom_site_type_symbol
_atom_site_fract_x
_atom_site_fract_y
_atom_site_fract_z
Cd1 Cd 0.000 0.000 0.000
Si1 Si 0.353 0.000 0.706
Si2 Si 0.711 0.000 0.428
Rh1 Rh 0.191 0.500 0.388

11.
# NbGaSeBr2 | Alexandria via LeMat-Bulk | PBE | optimized geometry
# Polymorph energy (0 for the lowest one) in eV/atom: 0.000
data_NbGaSeBr2
_space_group_name_H-M_alt 'P 4/m m m'
_space_group_IT_number 123
_space_group_name_Hall '-P 4 2'
_cell_length_a 5.408
_cell_length_b 5.408
_cell_length_c 5.035
_cell_angle_alpha 90.00
_cell_angle_beta 90.00
_cell_angle_gamma 90.00
loop_
_atom_site_label
_atom_site_type_symbol
_atom_site_fract_x
_atom_site_fract_y
_atom_site_fract_z
Nb1 Nb 0.000 0.000 0.000
Ga1 Ga 0.500 0.500 0.500
Se1 Se 0.000 0.000 0.500
Br1 Br 0.000 0.500 0.000

12.
# DyHoAl3 | Alexandria via LeMat-Bulk | PBE | optimized geometry
# Formation energy in eV per atom: -0.447
data_DyHoAl3
_space_group_name_H-M_alt 'C m c m'
_space_group_IT_number 63
_space_group_name_Hall '-C 2c 2'
_cell_length_a 3.521
_cell_length_b 27.621
_cell_length_c 4.536
_cell_angle_alpha 90.00
_cell_angle_beta 90.00
_cell_angle_gamma 90.00
loop_
_atom_site_label
_atom_site_type_symbol
_atom_site_fract_x
_atom_site_fract_y
_atom_site_fract_z
Dy1 Dy 0.000 0.212 0.250
Ho1 Ho 0.000 0.071 0.750
Al1 Al 0.000 0.330 0.250
Al2 Al 0.000 0.381 0.750
Al3 Al 0.000 0.476 0.750